Material: La4ZrRe
Method: DFT, GGA-PBE
State: optimized geometry

## Properties
DFT formation energy ... 1.003 eV per atom
Final energy ... -0.42491 Ry/atom

abc: 8.770 8.770 8.770
angles: 90.00 90.00 90.00
Space group F-43m (No. 216)
Symmetry-distinct sites (fractional):
La  0.124  0.124  0.124
Zr  0.000  0.000  0.500
Re  0.250  0.250  0.750

Material: NbNiPd
Method: DFT, GGA-PBE
State: optimized geometry

## Properties
DFT formation energy ... -0.309 eV per atom
Final energy ... -0.53827 Ry/atom

abc: 8.787 3.792 5.647
angles: 90.00 110.26 90.00
Space group C2/m (No. 12)
Symmetry-distinct sites (fractional):
Nb  0.006  0.000  0.262
Ni  0.163  0.500  0.572
Pd  0.174  0.500  0.101

Material: Sc2CuAu
Method: DFT, GGA-PBE
State: optimized geometry

## Properties
DFT formation energy ... -0.386 eV per atom
Final energy ... -0.39654 Ry/atom

abc: 3.414 4.534 9.704
angles: 90.00 90.00 90.00
Space group Imm2 (No. 44)
Symmetry-distinct sites (fractional):
Sc  0.000  0.000  0.000
Sc  0.000  0.500  0.221
Cu  0.000  0.500  0.745
Au  0.000  0.000  0.464

Material: MnIn2Pb
Method: DFT, GGA-PBE
State: optimized geometry

## Properties
DFT formation energy ... 0.252 eV per atom
Final energy ... -0.31877 Ry/atom

abc: 3.207 5.365 11.283
angles: 90.00 90.00 90.00
Space group Immm (No. 71)
Symmetry-distinct sites (fractional):
Mn  0.000  0.000  0.000
In  0.000  0.500  0.287
Pb  0.000  0.000  0.500

Material: La2Tb2PrMg5
Method: DFT, GGA-PBE
State: optimized geometry

## Properties
DFT formation energy ... -0.001 eV per atom
Final energy ... -0.23430 Ry/atom

abc: 10.722 10.722 5.193
angles: 90.00 90.00 90.00
Space group P4/mbm (No. 127)
Symmetry-distinct sites (fractional):
La  0.176  0.324  0.000
Tb  0.121  0.621  0.000
Pr  0.000  0.000  0.000
Mg  0.000  0.500  0.500
Mg  0.074  0.800  0.500

Material: Sb2MoRh
Method: DFT, GGA-PBE
State: optimized geometry

## Properties
Energy relative to the elements, uncorrected ... 0.079 eV/atom
Final energy ... -0.47981 Ry/atom

abc: 6.646 6.646 6.646
angles: 90.00 90.00 90.00
Space group Fm-3m (No. 225)
Symmetry-distinct sites (fractional):
Sb  0.250  0.250  0.250
Mo  0.000  0.000  0.000
Rh  0.000  0.000  0.500

Material: Er3Tm3Sc
Method: DFT, GGA-PBE
State: optimized geometry

## Properties
DFT formation energy ... 0.159 eV per atom
Final energy ... -0.33940 Ry/atom

abc: 6.0546 6.0546 40.8996
angles: 90.00 90.00 120.00
Space group R-3 (No. 148, hexagonal axes)
Symmetry-distinct sites (fractional):
Er  0.0003  0.3312  0.1321
Tm  0.0000  0.3348  0.9362
Sc  0.0000  0.0000  0.3333

Material: SrCaTb2Te4
Method: DFT, GGA-PBE
State: optimized geometry

## Properties
Energy relative to the elements, uncorrected ... -1.479 eV/atom
Final energy ... -0.34305 Ry/atom

abc: 7.701 4.450 7.892
angles: 90.00 109.05 90.00
Space group P2/m (No. 10)
Symmetry-distinct sites (fractional):
Sr  0.000  0.000  0.000
Ca  0.500  0.500  0.000
Tb  0.000  0.500  0.500
Tb  0.500  0.000  0.500
Te  0.252  0.000  0.741
Te  0.259  0.500  0.263